(1)
Here is crystalline ZrTi2Ga2 at its relaxed geometry from Alexandria. Energies are from PBE.

Computed properties:
energy relative to the lowest polymorph listed for this composition	0.00	eV/f.u.
DFT formation energy	-0.43	eV per atom

Lattice parameters (Å, degrees): 7.373 7.373 3.224 90.00 90.00 90.00
Space group P4/mbm (No. 127)
Symmetry-distinct sites (fractional):
Zr (0.000, 0.000, 0.000)
Ti (0.177, 0.323, 0.500)
Ga (0.123, 0.623, 0.000)

(2)
Here is crystalline SrBeW2 at its relaxed geometry from Alexandria. Energies are from PBE.

Computed properties:
DFT formation energy	1.13	eV per atom

Lattice parameters (Å, degrees): 4.675 4.675 6.597 90.00 90.00 90.00
Space group I-4m2 (No. 119)
Symmetry-distinct sites (fractional):
Sr (0.000, 0.000, 0.000)
Be (0.000, 0.500, 0.750)
W (0.000, 0.000, 0.500)
W (0.000, 0.500, 0.250)

(3)
Here is crystalline DyYHo2 at its relaxed geometry from Alexandria. Energies are from PBE.

Computed properties:
energy relative to the lowest polymorph listed for this composition	0.00	eV/f.u.
DFT formation energy	0.00	eV per atom

Lattice parameters (Å, degrees): 3.622 11.249 6.264 90.00 90.00 90.00
Space group Imm2 (No. 44)
Symmetry-distinct sites (fractional):
Dy (0.000, 0.000, 0.000)
Y (0.000, 0.500, 0.001)
Ho (0.000, 0.251, 0.668)

(4)
Here is crystalline Ni3Pd3Pt at its relaxed geometry from Alexandria. Energies are from PBE.

Computed properties:
DFT formation energy	0.00	eV per atom

Lattice parameters (Å, degrees): 7.1091 7.1091 13.1466 90.00 90.00 120.00
Space group R-3 (No. 148, hexagonal axes)
Symmetry-distinct sites (fractional):
Ni (0.0498, 0.2313, 0.4190)
Pd (0.0355, 0.2402, 0.9152)
Pt (0.0000, 0.0000, 0.2597)

(5)
Here is crystalline YAlSe3 at its relaxed geometry from Alexandria. Energies are from PBE.

Computed properties:
energy relative to the lowest polymorph listed for this composition	0.32	eV/f.u.

Lattice parameters (Å, degrees): 4.068 16.869 7.492 90.00 90.00 90.00
Space group Cmcm (No. 63)
Symmetry-distinct sites (fractional):
Y (0.000, 0.192, 0.250)
Al (0.000, 0.437, 0.250)
Se (0.000, 0.015, 0.250)
Se (0.000, 0.336, 0.019)

(6)
Here is crystalline Ba2SrH6Rh at its relaxed geometry from Alexandria. Energies are from PBE.

Computed properties:
DFT total energy	-3.74	eV/atom

Lattice parameters (Å, degrees): 5.7087 5.7087 6.5734 90.00 90.00 120.00
Space group P-3m1 (No. 164)
Symmetry-distinct sites (fractional):
Ba (0.3333, 0.6667, 0.1616)
Sr (0.0000, 0.0000, 0.5000)
H (0.1406, 0.2812, 0.8448)
Rh (0.0000, 0.0000, 0.0000)